# 1
## Mg3NF3 (SCAN)

Data for Mg3NF3 at its PBEsol-relaxed geometry.

For the density of states at the Fermi level, the calculation gives 0.00 states/eV/cell.

Cell lengths 4.218, 4.218, 4.218 Å; angles 90.00, 90.00, 90.00 degrees
Space group Pm-3m (No. 221)
Symmetry-distinct sites (fractional):
Mg: 0.000 0.000 0.500 (multiplicity 3)
N: 0.000 0.000 0.000 (multiplicity 1)
F: 0.000 0.500 0.500 (multiplicity 3)


# 2
## MgNiN2F (SCAN)

Data for MgNiN2F at its PBEsol-relaxed geometry.

For the density of states at the Fermi level, the calculation gives 2.09 states/eV/cell.

Cell lengths 3.495, 3.495, 4.573 Å; angles 90.00, 90.00, 90.00 degrees
Space group P4/mmm (No. 123)
Symmetry-distinct sites (fractional):
Mg: 0.000 0.000 0.000 (multiplicity 1)
Ni: 0.500 0.500 0.500 (multiplicity 1)
N: 0.000 0.500 0.500 (multiplicity 2)
F: 0.500 0.500 0.000 (multiplicity 1)


# 3
## Mg2NiNF (SCAN)

Data for Mg2NiNF at its PBEsol-relaxed geometry.

For the density of states at the Fermi level, the calculation gives 1.04 states/eV/cell.

Cell lengths 4.284, 4.284, 3.516 Å; angles 90.00, 90.00, 90.00 degrees
Space group P4/mmm (No. 123)
Symmetry-distinct sites (fractional):
Mg: 0.000 0.500 0.000 (multiplicity 2)
Ni: 0.000 0.000 0.500 (multiplicity 1)
N: 0.000 0.000 0.000 (multiplicity 1)
F: 0.500 0.500 0.500 (multiplicity 1)


# 4
## MgOsN2F (SCAN)

Data for MgOsN2F at its PBEsol-relaxed geometry.

For the density of states at the Fermi level, the calculation gives 3.11 states/eV/cell.

Cell lengths 3.969, 3.969, 3.429 Å; angles 90.00, 90.00, 90.00 degrees
Space group P4/mmm (No. 123)
Symmetry-distinct sites (fractional):
Mg: 0.000 0.000 0.000 (multiplicity 1)
Os: 0.500 0.500 0.500 (multiplicity 1)
N: 0.000 0.500 0.000 (multiplicity 2)
F: 0.000 0.000 0.500 (multiplicity 1)


# 5
## RbMgN2F (SCAN)

Data for RbMgN2F at its PBEsol-relaxed geometry.

For the density of states at the Fermi level, the calculation gives 0.99 states/eV/cell.

Cell lengths 4.334, 4.334, 4.133 Å; angles 90.00, 90.00, 90.00 degrees
Space group P4/mmm (No. 123)
Symmetry-distinct sites (fractional):
Rb: 0.000 0.000 0.000 (multiplicity 1)
Mg: 0.500 0.500 0.500 (multiplicity 1)
N: 0.000 0.500 0.500 (multiplicity 2)
F: 0.500 0.500 0.000 (multiplicity 1)


# 6
## RbMgNF2 (SCAN)

Data for RbMgNF2 at its PBEsol-relaxed geometry.

For the density of states at the Fermi level, the calculation gives 0.46 states/eV/cell.

Cell lengths 4.781, 4.781, 4.596 Å; angles 90.00, 90.00, 90.00 degrees
Space group P4/mmm (No. 123)
Symmetry-distinct sites (fractional):
Rb: 0.000 0.000 0.000 (multiplicity 1)
Mg: 0.500 0.500 0.500 (multiplicity 1)
N: 0.000 0.000 0.500 (multiplicity 1)
F: 0.000 0.500 0.000 (multiplicity 2)


# 7
## MgReNF2 (SCAN)

Data for MgReNF2 at its PBEsol-relaxed geometry.

For the density of states at the Fermi level, the calculation gives 2.15 states/eV/cell.

Cell lengths 4.185, 4.185, 3.818 Å; angles 90.00, 90.00, 90.00 degrees
Space group P4/mmm (No. 123)
Symmetry-distinct sites (fractional):
Mg: 0.000 0.000 0.000 (multiplicity 1)
Re: 0.500 0.500 0.500 (multiplicity 1)
N: 0.500 0.500 0.000 (multiplicity 1)
F: 0.000 0.500 0.500 (multiplicity 2)


# 8
## MgRhN2F (SCAN)

Data for MgRhN2F at its PBEsol-relaxed geometry.

For the density of states at the Fermi level, the calculation gives 2.83 states/eV/cell.

Cell lengths 3.773, 3.773, 4.303 Å; angles 90.00, 90.00, 90.00 degrees
Space group P4/mmm (No. 123)
Symmetry-distinct sites (fractional):
Mg: 0.000 0.000 0.000 (multiplicity 1)
Rh: 0.500 0.500 0.500 (multiplicity 1)
N: 0.000 0.500 0.500 (multiplicity 2)
F: 0.500 0.500 0.000 (multiplicity 1)


# 9
## MgSN2F (SCAN)

Data for MgSN2F at its PBEsol-relaxed geometry.

For the density of states at the Fermi level, the calculation gives 1.39 states/eV/cell.

Cell lengths 3.367, 3.367, 4.956 Å; angles 90.00, 90.00, 90.00 degrees
Space group P4/mmm (No. 123)
Symmetry-distinct sites (fractional):
Mg: 0.000 0.000 0.000 (multiplicity 1)
S: 0.500 0.500 0.500 (multiplicity 1)
N: 0.000 0.500 0.500 (multiplicity 2)
F: 0.500 0.500 0.000 (multiplicity 1)


# 10
## MgSbNF2 (SCAN)

Data for MgSbNF2 at its PBEsol-relaxed geometry.

For the density of states at the Fermi level, the calculation gives 1.44 states/eV/cell.

Cell lengths 4.376, 4.376, 4.271 Å; angles 90.00, 90.00, 90.00 degrees
Space group P4/mmm (No. 123)
Symmetry-distinct sites (fractional):
Mg: 0.000 0.000 0.000 (multiplicity 1)
Sb: 0.500 0.500 0.500 (multiplicity 1)
N: 0.500 0.500 0.000 (multiplicity 1)
F: 0.000 0.500 0.500 (multiplicity 2)


# 11
## MgScNF2 (SCAN)

Data for MgScNF2 at its PBEsol-relaxed geometry.

Cell lengths 3.557, 3.557, 4.527 Å; angles 90.00, 90.00, 90.00 degrees
Space group P4/mmm (No. 123)
Symmetry-distinct sites (fractional):
Mg: 0.000 0.000 0.000 (multiplicity 1)
Sc: 0.500 0.500 0.500 (multiplicity 1)
N: 0.000 0.000 0.500 (multiplicity 1)
F: 0.000 0.500 0.000 (multiplicity 2)


# 12
## MgTeN2F (SCAN)

Data for MgTeN2F at its PBEsol-relaxed geometry.

For the density of states at the Fermi level, the calculation gives 0.80 states/eV/cell. The energy above the most stable polymorph in this dataset comes out at 0 meV per atom.

Cell lengths 4.108, 4.108, 4.171 Å; angles 90.00, 90.00, 90.00 degrees
Space group P4/mmm (No. 123)
Symmetry-distinct sites (fractional):
Mg: 0.000 0.000 0.000 (multiplicity 1)
Te: 0.500 0.500 0.500 (multiplicity 1)
N: 0.000 0.500 0.500 (multiplicity 2)
F: 0.500 0.500 0.000 (multiplicity 1)


no.,uncorrected formation energy (meV/atom),volume (Å³ per atom)
1,-2811,10.7
2,-32,11.2
3,-1003,12.9
4,965,10.8
5,-379,15.5
6,-136,21.0
7,-726,13.4
8,97,12.3
9,342,11.2
10,-677,16.4
11,-2360,11.5
12,280,14.1